First-principles (meta-GGA SCAN) data for a PBEsol-optimized structure of MgHgRu, as listed in Alexandria.

- DOS(E_F) (states/eV per atom) = 0.86
- total magnetization (μB per formula unit) = 0.6
- formation energy (meV/atom) = 187

Cell: 3.2727 3.2727 9.3940 Å, 90.00 90.00 90.00°
Space group I4mm (No. 107)
Unique sites:
Mg1 0.0000 0.0000 0.0000
Hg1 0.0000 0.0000 0.6825
Ru1 0.0000 0.0000 0.3518

***

First-principles (meta-GGA SCAN) data for a PBEsol-optimized structure of Cd3Au, as listed in Alexandria.

- DOS(E_F) (states/eV per atom) = 0.26
- total magnetization (μB per formula unit) = 0.0
- formation energy (meV/atom) = -124

Cell: 3.1295 4.7453 5.1365 Å, 90.00 90.00 90.00°
Space group Pmm2 (No. 25)
Unique sites:
Cd1 0.0000 0.0000 0.0000
Cd2 0.0000 0.5000 0.3436
Cd3 0.5000 0.5000 0.8346
Au1 0.5000 0.0000 0.5027

***

- Which value of total magnetization does entry 2 give?
  0.0 μB per formula unit

***

What did the second record say?
First-principles (meta-GGA SCAN) data for a PBEsol-optimized structure of Cd3Au, as listed in Alexandria.

- DOS(E_F) (states/eV per atom) = 0.26
- total magnetization (μB per formula unit) = 0.0
- formation energy (meV/atom) = -124

Cell: 3.1295 4.7453 5.1365 Å, 90.00 90.00 90.00°
Space group Pmm2 (No. 25)
Unique sites:
Cd1 0.0000 0.0000 0.0000
Cd2 0.0000 0.5000 0.3436
Cd3 0.5000 0.5000 0.8346
Au1 0.5000 0.0000 0.5027

***

- The highest formation energy belongs to which entry?
  MgHgRu